No. 1
! PmPrCdAu GGA-PBE relaxed; values from VASP
! Fermi-level density of states: 3.50 states/eV/f.u.
! Energy of formation from the pure elements: -507 meV per atom
! DFT total energy: -15.7 eV per formula unit
&SYSTEM
  ibrav = 0, nat = 4, ntyp = 4
/
ATOMIC_SPECIES
Cd 112.41 Cd.upf
Au 196.97 Au.upf
Pr 140.91 Pr.upf
Pm 145.00 Pm.upf
CELL_PARAMETERS angstrom
5.352 0.000 0.000
2.676 4.635 0.000
2.676 1.545 4.370
ATOMIC_POSITIONS crystal
Cd 0.750 0.750 0.750
Au 0.250 0.250 0.250
Pr 0.000 0.000 0.000
Pm 0.500 0.500 0.500



No. 2
! ReMoW2 GGA-PBE relaxed; values from VASP
! Fermi-level density of states: 3.27 states/eV/f.u.
! Energy of formation from the pure elements: 63 meV per atom
! DFT total energy: -48.9 eV per formula unit
&SYSTEM
  ibrav = 0, nat = 4, ntyp = 3
/
ATOMIC_SPECIES
W 183.84 W.upf
Re 186.21 Re.upf
Mo 95.94 Mo.upf
CELL_PARAMETERS angstrom
2.743 -0.001 0.000
-0.926 2.583 0.000
0.000 0.000 8.933
ATOMIC_POSITIONS crystal
W 0.000 0.000 0.502
W 0.000 0.000 0.998
Re 0.500 0.500 0.750
Mo 0.500 0.500 0.250



No. 3
! Rb2HfZnF GGA-PBE relaxed; values from VASP
! Fermi-level density of states: 4.91 states/eV/f.u.
! DFT total energy: -12.8 eV per formula unit
&SYSTEM
  ibrav = 0, nat = 5, ntyp = 4
/
ATOMIC_SPECIES
Rb 85.47 Rb.upf
Zn 65.41 Zn.upf
F 19.00 F.upf
Hf 178.49 Hf.upf
CELL_PARAMETERS angstrom
7.162 0.000 0.000
0.000 5.103 0.000
0.000 0.000 7.162
ATOMIC_POSITIONS crystal
Rb 0.500 0.000 0.000
Zn 0.000 0.500 0.000
F 0.500 0.500 0.500
Rb 0.000 0.000 0.500
Hf 0.000 0.000 0.000



No. 4
! Re2Hg GGA-PBE relaxed; values from VASP
! Fermi-level density of states: 3.58 states/eV/f.u.
! Energy of formation from the pure elements: 1194 meV per atom
! DFT total energy: -21.6 eV per formula unit
&SYSTEM
  ibrav = 0, nat = 6, ntyp = 2
/
ATOMIC_SPECIES
Hg 200.59 Hg.upf
Re 186.21 Re.upf
CELL_PARAMETERS angstrom
2.556 2.492 -2.900
-4.588 0.271 -0.165
0.111 4.085 3.608
ATOMIC_POSITIONS crystal
Hg 0.333 0.667 0.250
Re 0.667 0.333 0.250
Re 0.000 0.000 0.500
Re 0.333 0.667 0.750
Hg 0.667 0.333 0.750
Re 0.000 0.000 0.000



No. 5
! TcSeN2F GGA-PBE relaxed; values from VASP
! Fermi-level density of states: 4.86 states/eV/f.u.
! DFT total energy: -21.5 eV per formula unit
&SYSTEM
  ibrav = 0, nat = 5, ntyp = 4
/
ATOMIC_SPECIES
F 19.00 F.upf
N 14.01 N.upf
Tc 98.00 Tc.upf
Se 78.96 Se.upf
CELL_PARAMETERS angstrom
-2.800 1.807 -2.032
-0.958 -3.430 -1.731
-2.550 -0.733 2.863
ATOMIC_POSITIONS crystal
F 0.000 0.000 0.000
N 0.000 0.000 0.500
N 0.500 0.000 0.000
Tc 0.500 0.500 0.500
Se 0.000 0.500 0.000



No. 6
! Y2HoS2 GGA-PBE relaxed; values from VASP
! Fermi-level density of states: 3.61 states/eV/f.u.
! DFT total energy: -33.7 eV per formula unit
&SYSTEM
  ibrav = 0, nat = 5, ntyp = 3
/
ATOMIC_SPECIES
S 32.06 S.upf
Ho 164.93 Ho.upf
Y 88.91 Y.upf
CELL_PARAMETERS angstrom
-1.042 -1.023 3.534
2.648 -1.088 2.534
1.477 8.300 4.905
ATOMIC_POSITIONS crystal
S 0.390 0.390 0.830
Ho 0.000 0.000 0.000
Y 0.217 0.217 0.350
Y 0.783 0.783 0.650
S 0.610 0.610 0.170



No. 7
! Zr7Tl2Sn2 GGA-PBE relaxed; values from VASP
! Fermi-level density of states: 11.37 states/eV/f.u.
! Energy of formation from the pure elements: 199 meV per atom
! DFT total energy: -70.4 eV per formula unit
&SYSTEM
  ibrav = 0, nat = 11, ntyp = 3
/
ATOMIC_SPECIES
Zr 91.22 Zr.upf
Sn 118.71 Sn.upf
Tl 204.38 Tl.upf
CELL_PARAMETERS angstrom
-1.575 -1.658 6.112
-6.019 -2.602 -2.269
3.135 -5.206 -2.379
ATOMIC_POSITIONS crystal
Zr 0.500 0.729 0.500
Zr 0.000 0.286 0.501
Sn 0.285 0.000 0.715
Zr 0.500 0.271 0.500
Zr 0.501 0.714 0.000
Tl 0.822 0.500 0.822
Zr 0.000 0.714 0.499
Tl 0.178 0.500 0.178
Zr 0.000 0.000 0.000
Sn 0.715 0.000 0.285
Zr 0.499 0.286 0.000



No. 8
! Na2SrCaF6 GGA-PBE relaxed; values from VASP
! Fermi-level density of states: 0.00 states/eV/f.u.
! DFT total energy: -51.5 eV per formula unit
&SYSTEM
  ibrav = 0, nat = 20, ntyp = 4
/
ATOMIC_SPECIES
F 19.00 F.upf
Sr 87.62 Sr.upf
Na 22.99 Na.upf
Ca 40.08 Ca.upf
CELL_PARAMETERS angstrom
6.016 0.000 0.017
0.000 6.156 0.000
0.076 0.000 8.635
ATOMIC_POSITIONS crystal
F 0.131 0.402 0.760
F 0.369 0.902 0.740
Sr 0.000 0.500 0.500
Na 0.989 0.964 0.267
F 0.631 0.098 0.260
F 0.659 0.317 0.585
Ca 0.500 0.000 0.500
Ca 0.000 0.500 0.000
Na 0.011 0.036 0.733
F 0.828 0.843 0.552
Na 0.511 0.464 0.233
F 0.672 0.343 0.948
F 0.172 0.157 0.448
F 0.841 0.817 0.915
F 0.341 0.683 0.415
F 0.869 0.598 0.240
F 0.159 0.183 0.085
Na 0.489 0.536 0.767
Sr 0.500 0.000 0.000
F 0.328 0.657 0.052



No. 9
! NpPaIr2 GGA-PBE relaxed; values from VASP
! Fermi-level density of states: 8.96 states/eV/f.u.
! Energy of formation from the pure elements: -429 meV per atom
! DFT total energy: -41.9 eV per formula unit
&SYSTEM
  ibrav = 0, nat = 4, ntyp = 3
/
ATOMIC_SPECIES
Ir 192.22 Ir.upf
Np 237.00 Np.upf
Pa 231.04 Pa.upf
CELL_PARAMETERS angstrom
4.869 0.000 0.000
2.434 4.216 0.000
2.434 1.405 3.975
ATOMIC_POSITIONS crystal
Ir 0.750 0.750 0.750
Np 0.500 0.500 0.500
Ir 0.250 0.250 0.250
Pa 0.000 0.000 0.000



No. 10
! MnGaCoSe2 GGA-PBE relaxed; values from VASP
! Fermi-level density of states: 2.69 states/eV/f.u.
! DFT total energy: -27.2 eV per formula unit
&SYSTEM
  ibrav = 0, nat = 10, ntyp = 4
/
ATOMIC_SPECIES
Co 58.93 Co.upf
Se 78.96 Se.upf
Ga 69.72 Ga.upf
Mn 54.94 Mn.upf
CELL_PARAMETERS angstrom
6.689 0.000 0.257
0.000 3.516 0.000
-2.653 0.000 7.731
ATOMIC_POSITIONS crystal
Co 0.964 0.000 0.380
Se 0.604 0.500 0.729
Se 0.186 0.500 0.347
Ga 0.889 0.500 0.563
Se 0.186 0.000 0.847
Co 0.964 0.500 0.880
Mn 0.347 0.000 0.588
Se 0.604 0.000 0.229
Mn 0.347 0.500 0.088
Ga 0.889 0.000 0.063



No. 11
! TaMn2Cu GGA-PBE relaxed; values from VASP
! Fermi-level density of states: 2.65 states/eV/f.u.
! Energy of formation from the pure elements: 47 meV per atom
! DFT total energy: -34.1 eV per formula unit
&SYSTEM
  ibrav = 0, nat = 4, ntyp = 3
/
ATOMIC_SPECIES
Mn 54.94 Mn.upf
Ta 180.95 Ta.upf
Cu 63.55 Cu.upf
CELL_PARAMETERS angstrom
-2.083 -2.538 0.940
2.882 -1.530 2.256
-1.255 2.169 3.074
ATOMIC_POSITIONS crystal
Mn 0.000 0.500 0.500
Ta 0.500 0.500 0.000
Cu 0.500 0.000 0.500
Mn 0.000 0.000 0.000



No. 12
! CeTmOsPd GGA-PBE relaxed; values from VASP
! Fermi-level density of states: 4.79 states/eV/f.u.
! Energy of formation from the pure elements: -492 meV per atom
! DFT total energy: -28.8 eV per formula unit
&SYSTEM
  ibrav = 0, nat = 4, ntyp = 4
/
ATOMIC_SPECIES
Os 190.23 Os.upf
Pd 106.42 Pd.upf
Tm 168.93 Tm.upf
Ce 140.12 Ce.upf
CELL_PARAMETERS angstrom
4.897 0.000 0.000
2.449 4.241 0.000
2.449 1.414 3.998
ATOMIC_POSITIONS crystal
Os 0.500 0.500 0.500
Pd 0.000 0.000 0.000
Tm 0.750 0.750 0.750
Ce 0.250 0.250 0.250